# 1
Below is Be3PdRu after structural relaxation, with properties calculated at the PBE level.

## Properties
Total DFT energy (no corrections)   -4.497 eV per atom
Magnetization   0.000 μB per atom

a b c (Å): 4.0459 4.0459 4.0459
angles (deg): 90.00 90.00 90.00
Fractional coordinates of all 5 atoms:
1 Ru 0.5000 0.5000 0.5000
2 Pd 0.0000 0.0000 0.0000
3 Be 0.0000 0.5000 0.0000
4 Be 0.0000 0.0000 0.5000
5 Be 0.5000 0.0000 0.0000

---

# 2
Below is BePdRu3 after structural relaxation, with properties calculated at the PBE level.

## Properties
Total DFT energy (no corrections)   -6.773 eV per atom
Magnetization   0.000 μB per atom

a b c (Å): 4.0924 4.0924 4.0924
angles (deg): 90.00 90.00 90.00
Fractional coordinates of all 5 atoms:
1 Ru 0.0000 0.5000 0.0000
2 Ru 0.0000 0.0000 0.5000
3 Ru 0.5000 0.0000 0.0000
4 Pd 0.5000 0.5000 0.5000
5 Be 0.0000 0.0000 0.0000

---

Number 1: relative energy among the computed polymorphs 0.105 eV/atom. Number 2: relative energy among the computed polymorphs 0.000 eV/atom.